i:
Below is a relaxed AlGaMo crystal, with properties calculated at the PBE level.

Unit cell a=4.915 b=4.810 c=5.235 alpha=108.15 beta=102.47 gamma=118.79
Fractional positions:
1 Al 0.415 0.858 0.991
2 Mo 0.056 0.165 0.956
3 Ga 0.729 0.511 0.996
4 Ga 0.462 0.808 0.476
5 Al 0.152 0.162 0.477
6 Mo 0.821 0.503 0.512

Properties
Spin magnetization: 0.0 Bohr magnetons per cell


ii:
Below is a relaxed AlGaMo crystal, with properties calculated at the PBE level.

Unit cell a=4.943 b=4.811 c=5.250 alpha=108.61 beta=101.82 gamma=119.16
Fractional positions:
1 Ga 0.973 0.526 0.259
2 Mo 0.614 0.825 0.219
3 Al 0.719 0.831 0.743
4 Ga 0.027 0.474 0.741
5 Al 0.281 0.169 0.257
6 Mo 0.386 0.175 0.781

Properties
Spin magnetization: 0.0 Bohr magnetons per cell


iii:
Below is a relaxed AlGaMo crystal, with properties calculated at the PBE level.

Unit cell a=2.694 b=4.425 c=4.425 alpha=120.00 beta=90.00 gamma=90.00
Fractional positions:
1 Al 0.499 0.333 0.667
2 Ga 0.501 0.667 0.333
3 Mo 0.000 0.000 0.000

Properties
Spin magnetization: 0.0 Bohr magnetons per cell


Stability, highest: i


i:
Below is a relaxed Al4GaMo crystal, with properties calculated at the PBE level.

Unit cell a=3.635 b=6.614 c=8.160 alpha=90.00 beta=90.00 gamma=105.95
Fractional positions:
1 Al 0.006 0.012 0.310
2 Al 0.670 0.339 0.304
3 Al 0.813 0.625 0.050
4 Ga 0.664 0.328 0.796
5 Mo 0.847 0.695 0.549
6 Al 0.187 0.375 0.550
7 Ga 0.336 0.672 0.296
8 Al 0.994 0.988 0.810
9 Al 0.494 0.988 0.056
10 Mo 0.153 0.305 0.049
11 Al 0.330 0.661 0.804
12 Al 0.506 0.012 0.556

Properties
Spin magnetization: 0.0 Bohr magnetons per cell


ii:
Below is a relaxed Al4GaMo crystal, with properties calculated at the PBE level.

Unit cell a=4.899 b=4.899 c=9.644 alpha=72.47 beta=72.47 gamma=60.49
Fractional positions:
1 Mo 0.055 0.945 0.750
2 Al 0.681 0.164 0.005
3 Al 0.836 0.319 0.495
4 Al 0.604 0.721 0.251
5 Al 0.164 0.681 0.505
6 Al 0.721 0.604 0.751
7 Al 0.279 0.396 0.249
8 Al 0.319 0.836 0.995
9 Mo 0.945 0.055 0.250
10 Ga 0.000 0.500 0.000
11 Al 0.396 0.279 0.749
12 Ga 0.500 0.000 0.500

Properties
Spin magnetization: 0.0 Bohr magnetons per cell


Stability, highest: i


i:
Below is a relaxed RbAl2GaMo crystal, with properties calculated at the PBE level.

Unit cell a=5.034 b=5.069 c=5.034 alpha=90.00 beta=90.00 gamma=90.00
Fractional positions:
1 Ga 0.000 0.500 0.000
2 Al 0.500 0.000 0.000
3 Mo 0.000 0.000 0.000
4 Al 0.000 0.000 0.500
5 Rb 0.500 0.500 0.500

Properties
Spin magnetization: 0.0 Bohr magnetons per cell


ii:
Below is a relaxed RbAl2GaMo crystal, with properties calculated at the PBE level.

Unit cell a=5.001 b=5.865 c=5.001 alpha=90.00 beta=90.00 gamma=90.00
Each line ends with the local moment (μB).
Fractional positions:
1 Rb 0.000 0.500 0.000  0.01
2 Al 0.000 0.000 0.500  -0.05
3 Al 0.500 0.000 0.000  -0.03
4 Ga 0.000 0.000 0.000  -0.03
5 Mo 0.500 0.500 0.500  3.64

Properties
Spin magnetization: 4.1 Bohr magnetons per cell


Stability, highest: i


i:
Below is a relaxed AlGa3N crystal, with properties calculated at the PBE level.

Unit cell a=4.942 b=4.942 c=4.942 alpha=90.00 beta=90.00 gamma=90.00
Each line ends with the local moment (μB).
Fractional positions:
1 Ga 0.000 0.000 0.500  -0.04
2 Ga 0.500 0.000 0.000  -0.08
3 Al 0.000 0.000 0.000  0.01
4 N 0.500 0.500 0.500  1.25
5 Ga 0.000 0.500 0.000  -0.05

Properties
Spin magnetization: 1.3 Bohr magnetons per cell


ii:
Below is a relaxed AlGa3N crystal, with properties calculated at the PBE level.

Unit cell a=4.353 b=4.353 c=4.353 alpha=90.00 beta=90.00 gamma=90.00
Fractional positions:
1 Al 0.500 0.500 0.500
2 Ga 0.500 0.000 0.000
3 Ga 0.000 0.000 0.500
4 Ga 0.000 0.500 0.000
5 N 0.000 0.000 0.000

Properties
Spin magnetization: 0.0 Bohr magnetons per cell


Stability, highest: ii


i:
Below is a relaxed Al2GaN crystal, with properties calculated at the PBE level.

Unit cell a=4.315 b=4.315 c=4.315 alpha=60.00 beta=60.00 gamma=60.00
Fractional positions:
1 Ga 0.500 0.500 0.500
2 Al 0.750 0.750 0.750
3 Al 0.250 0.250 0.250
4 N 0.000 0.000 0.000

Properties
Spin magnetization: 0.0 Bohr magnetons per cell


ii:
Below is a relaxed Al2GaN crystal, with properties calculated at the PBE level.

Unit cell a=5.388 b=5.388 c=5.856 alpha=62.61 beta=62.61 gamma=90.00
Fractional positions:
1 Ga 0.750 0.250 0.500
2 Al 0.226 0.625 0.250
3 Al 0.524 0.125 0.250
4 N 0.500 0.500 0.000
5 N 0.250 0.750 0.500
6 Ga 0.000 0.000 0.000
7 Al 0.375 0.476 0.750
8 Al 0.875 0.774 0.750

Properties
Spin magnetization: 0.0 Bohr magnetons per cell


Stability, highest: ii


i:
Below is a relaxed Al2GaN3 crystal, with properties calculated at the PBE level.

Unit cell a=5.997 b=5.997 c=7.476 alpha=75.69 beta=75.69 gamma=30.51
Fractional positions:
1 N 0.182 0.182 0.515
2 Ga 0.723 0.723 0.058
3 Al 0.056 0.056 0.389
4 Ga 0.390 0.390 0.722
5 N 0.853 0.853 0.185
6 Al 0.446 0.446 0.113
7 N 0.569 0.569 0.244
8 Al 0.777 0.777 0.444
9 N 0.519 0.519 0.853
10 Al 0.111 0.111 0.777
11 N 0.905 0.905 0.564
12 N 0.235 0.235 0.901

Properties
Spin magnetization: 0.0 Bohr magnetons per cell


ii:
Below is a relaxed Al2GaN3 crystal, with properties calculated at the PBE level.

Unit cell a=5.447 b=5.447 c=5.447 alpha=99.61 beta=99.61 gamma=120.00
Fractional positions:
1 N 0.055 0.231 0.390
2 N 0.231 0.055 0.890
3 N 0.396 0.885 0.379
4 N 0.885 0.396 0.879
5 Al 0.596 0.430 0.008
6 Ga 0.927 0.096 0.008
7 N 0.711 0.545 0.379
8 Ga 0.096 0.927 0.508
9 N 0.545 0.711 0.879
10 Al 0.761 0.263 0.508
11 Al 0.430 0.596 0.508
12 Al 0.263 0.761 0.008

Properties
Spin magnetization: 0.0 Bohr magnetons per cell


Stability, highest: i


i:
Below is a relaxed AlGaSe2N crystal, with properties calculated at the PBE level.

Unit cell a=5.165 b=5.165 c=3.640 alpha=90.00 beta=90.00 gamma=90.00
Fractional positions:
1 N 0.000 0.000 0.500
2 Se 0.500 0.000 0.000
3 Al 0.500 0.500 0.500
4 Se 0.000 0.500 0.000
5 Ga 0.000 0.000 0.000

Properties
Spin magnetization: 0.0 Bohr magnetons per cell


ii:
Below is a relaxed AlGaSe2N crystal, with properties calculated at the PBE level.

Unit cell a=5.218 b=5.218 c=3.526 alpha=90.00 beta=90.00 gamma=90.00
Fractional positions:
1 N 0.000 0.000 0.500
2 Ga 0.500 0.500 0.500
3 Se 0.000 0.500 0.000
4 Se 0.500 0.000 0.000
5 Al 0.000 0.000 0.000

Properties
Spin magnetization: 0.0 Bohr magnetons per cell


Stability, highest: ii


i:
Below is a relaxed AlGaTeN2 crystal, with properties calculated at the PBE level.

Unit cell a=3.925 b=3.925 c=6.011 alpha=90.00 beta=90.00 gamma=90.00
Each line ends with the local moment (μB).
Fractional positions:
1 Te 0.000 0.000 0.500  0.10
2 Ga 0.000 0.000 0.000  -0.03
3 N 0.500 0.000 0.000  0.74
4 N 0.000 0.500 0.000  0.74
5 Al 0.500 0.500 0.500  -0.01

Properties
Spin magnetization: 2.2 Bohr magnetons per cell


ii:
Below is a relaxed AlGaTeN2 crystal, with properties calculated at the PBE level.

Unit cell a=3.817 b=3.817 c=5.953 alpha=90.00 beta=90.00 gamma=90.00
Each line ends with the local moment (μB).
Fractional positions:
1 N 0.000 0.500 0.000  0.20
2 Te 0.000 0.000 0.500  0.04
3 Al 0.000 0.000 0.000  -0.01
4 Ga 0.500 0.500 0.500  -0.01
5 N 0.500 0.000 0.000  0.20

Properties
Spin magnetization: 0.6 Bohr magnetons per cell


Stability, highest: ii